No. 1
Material: Li3ScP
Method: DFT, PBE-GGA
State: relaxed

Values from the calculation:
The polymorph energy (0 for the lowest one) is 1.472 eV/atom. Its energy of formation from the pure elements is 1.1512 eV per atom.

Lattice parameters (Å, degrees): 4.9986 4.9986 4.9986 90.00 90.00 90.00
Last column: nearest neighbours and their distance in Å.
Space group Pm-3m (No. 221)
Asymmetric unit:
Li  0.0000  0.0000  0.5000 [3 per cell]  2 Sc 2.50
Sc  0.0000  0.0000  0.0000 [1 per cell]  6 Li 2.50
P  0.5000  0.5000  0.5000 [1 per cell]  12 Li 3.53


No. 2
Material: Zn2AgSb
Method: DFT, PBE-GGA
State: relaxed

Values from the calculation:
The formation energy without anion corrections is 2.37 kcal/mol of atoms.

Lattice parameters (Å, degrees): 8.7477 3.2430 5.7573 90.00 103.88 90.00
Last column: nearest neighbours and their distance in Å.
Space group C2/m (No. 12)
Asymmetric unit:
Zn  0.2445  0.0000  0.2014 [4 per cell]  3 Ag 2.71-2.75, 2 Zn 2.85, 2 Sb 2.96
Ag  0.0000  0.5000  0.0000 [2 per cell]  6 Zn 2.71-2.75
Sb  0.0000  0.0000  0.5000 [2 per cell]  6 Zn 2.96-3.05, 2 Sb 3.24, 4 Ag 3.30


No. 3
Material: AcNiI
Method: DFT, PBE-GGA
State: relaxed

Values from the calculation:
The polymorph energy (0 for the lowest one) is 0.000 eV/atom. The formation energy without anion corrections is -19.85 kcal/mol of atoms.

Lattice parameters (Å, degrees): 7.4669 4.3112 12.9206 90.00 101.24 90.00
Last column: nearest neighbours and their distance in Å.
Space group C2/m (No. 12)
Asymmetric unit:
Ac  0.0523  0.0000  0.1549 [4 per cell]  6 Ni 3.15-3.18, 3 I 3.42
Ni  0.1661  0.5000  0.9981 [4 per cell]  3 Ni 2.49
I  0.2185  0.0000  0.6598 [4 per cell]  3 Ac 3.42


No. 4
Material: ZrSb2Cl
Method: DFT, PBE-GGA
State: relaxed

Values from the calculation:
The polymorph energy (0 for the lowest one) is 0.415 eV/atom. The formation energy without anion corrections is -5.58 kcal/mol of atoms.

Lattice parameters (Å, degrees): 5.6724 10.4623 3.2223 90.00 90.00 90.00
Last column: nearest neighbours and their distance in Å.
Space group Cmmm (No. 65)
Asymmetric unit:
Zr  0.0000  0.0000  0.0000 [2 per cell]  2 Cl 2.84
Sb  0.2500  0.2500  0.5000 [4 per cell]  2 Sb 2.84
Cl  0.0000  0.5000  0.0000 [2 per cell]  2 Zr 2.84


Results for E: -2.3454 -2.2776 -4.6739 -4.9019 (in eV/atom, following the order of the records).
Results for V: 24.98 19.82 34.00 23.90 (in A^3/atom, following the order of the records).
Results for D(E_F): 12.40 2.13 9.74 2.96 (in states/eV/cell, following the order of the records).